[1]
Computed, not measured: Pb3Au2 after structural relaxation at the PBE level of DFT.

Cell lengths 10.0499, 10.0499, 10.0499 Å; angles 23.29, 23.29, 23.29 degrees
Last column: nearest neighbours and their distance in Å.
Sites, in units of the cell vectors:
Pb  0.0000  0.0000  0.0000  6 Au 2.99
Pb  0.2099  0.2099  0.2099  3 Au 2.93
Pb  0.7901  0.7901  0.7901  3 Au 2.93
Au  0.3969  0.3969  0.3969  6 Pb 2.93-2.99
Au  0.6031  0.6031  0.6031  6 Pb 2.93-2.99

Output
- space-group type = R-3m (166)



[2]
Computed, not measured: Pb3Au after structural relaxation at the PBE level of DFT.

Cell lengths 3.6721, 6.5452, 9.7776 Å; angles 90.00, 90.00, 90.00 degrees
Last column: nearest neighbours and their distance in Å.
Sites, in units of the cell vectors:
Pb  0.2500  0.0022  0.1535  2 Au 3.05, 2 Pb 3.24-3.30
Pb  0.2500  0.4978  0.1535  2 Au 3.05, 2 Pb 3.24-3.30
Pb  0.2500  0.7500  0.5763  2 Au 2.98
Pb  0.7500  0.2500  0.4237  2 Au 2.98
Pb  0.7500  0.5022  0.8465  2 Au 3.05, 2 Pb 3.24-3.30
Pb  0.7500  0.9978  0.8465  2 Au 3.05, 2 Pb 3.24-3.30
Au  0.2500  0.2500  0.6634  6 Pb 2.98-3.05
Au  0.7500  0.7500  0.3366  6 Pb 2.98-3.05

Output
- space-group type = Pmmn (59)



[3]
Computed, not measured: PbAu8 after structural relaxation at the PBE level of DFT.

Cell lengths 6.7982, 6.7982, 6.7982 Å; angles 95.31, 95.31, 144.58 degrees
Last column: nearest neighbours and their distance in Å.
Sites, in units of the cell vectors:
Pb  0.0000  0.0000  0.0000  12 Au 3.06-3.10
Au  0.0000  0.3384  0.3384  11 Au 2.94-3.01, 1 Pb 3.10
Au  0.0000  0.6616  0.6616  11 Au 2.94-3.01, 1 Pb 3.10
Au  0.3263  0.3263  0.6526  10 Au 2.86-3.18, 2 Pb 3.06
Au  0.3263  0.6737  0.0000  10 Au 2.86-3.18, 2 Pb 3.06
Au  0.3384  0.0000  0.3384  11 Au 2.94-3.01, 1 Pb 3.10
Au  0.6616  0.0000  0.6616  11 Au 2.94-3.01, 1 Pb 3.10
Au  0.6737  0.3263  0.0000  10 Au 2.86-3.18, 2 Pb 3.06
Au  0.6737  0.6737  0.3474  10 Au 2.86-3.18, 2 Pb 3.06

Output
- space-group type = I4/mmm (139)



[4]
Computed, not measured: Pb5Au after structural relaxation at the PBE level of DFT.

Cell lengths 6.2093, 6.2093, 6.0057 Å; angles 90.00, 90.00, 120.00 degrees
Last column: nearest neighbours and their distance in Å.
Sites, in units of the cell vectors:
Pb  0.0000  0.5000  0.0000  4 Pb 3.10
Pb  0.3333  0.6667  0.5000  9 Pb 3.50-3.58, 3 Au 3.58
Pb  0.5000  0.0000  0.0000  4 Pb 3.10
Pb  0.5000  0.5000  0.0000  4 Pb 3.10
Pb  0.6667  0.3333  0.5000  9 Pb 3.50-3.58, 3 Au 3.58
Au  0.0000  0.0000  0.5000  6 Pb 3.58

Output
- relative energy among the computed polymorphs (meV/atom) = 338
- space-group type = P6/mmm (191)



For the records above, the corresponding energy relative to the elements values read -3; -2; 4; 31 kJ/mol of atoms.
For the records above, the corresponding DFT total energy values read -17.830; -28.944; -29.572; -19.875 eV for the cell shown.